This record from OQMD describes crystalline AcGa2Re2 at its relaxed geometry. The functional is PBE.

Lattice parameters (Å, degrees): 5.5740 5.5740 8.2821 90.00 90.00 90.00
Space group I4/mmm (No. 139)
One atom of each set of equivalent atoms:
Ac1 0.0000 0.0000 0.0000 (multiplicity 2)
Ga1 0.0000 0.5000 0.0000 (multiplicity 4)
Re1 0.0000 0.0000 0.3715 (multiplicity 4)

Magnetization, μB per cell: 1.43
Calculated total energy, eV/atom: -5.47